Computed, not measured: crystalline KRb3Ni at its relaxed geometry at the PBE level of DFT.

Results
energy above the lowest structure with this stoichiometry = 532 meV/atom
theoretical density = 1.3 Mg/m³
ΔH_f (0 K) = 0.965 eV per atom

extended XYZ file:
```
5
Lattice="7.608 0.000 0.000 0.000 7.608 0.000 0.000 0.000 7.608" Properties=species:S:1:pos:R:3 pbc="T T T"
K 0.000 0.000 0.000
Rb 0.000 0.000 3.804
Rb 0.000 3.804 0.000
Rb 3.804 0.000 0.000
Ni 3.804 3.804 3.804
```

=====

Computed, not measured: crystalline In2OsCl at its relaxed geometry at the PBE level of DFT.

Results
formation energy without anion corrections = 284.7 kJ/mol of formula units
energy above the lowest structure with this stoichiometry = 714 meV/atom
theoretical density = 9.4 Mg/m³

extended XYZ file:
```
4
Lattice="-2.067 2.067 4.719 2.067 -2.067 4.719 2.067 2.067 -4.719" Properties=species:S:1:pos:R:3 pbc="T T T"
In 0.000 0.000 0.000
In 0.000 2.067 2.359
Os 2.067 0.000 2.359
Cl 0.000 0.000 4.719
```

=====

Computed, not measured: crystalline Pm4AsCl5 at its relaxed geometry at the PBE level of DFT.

Results
formation energy without anion corrections = -1590.8 kJ/mol of formula units
energy above the lowest structure with this stoichiometry = 192 meV/atom
theoretical density = 4.8 Mg/m³

extended XYZ file:
```
20
Lattice="8.851 0.000 0.000 0.000 9.708 0.000 0.000 0.000 6.649" Properties=species:S:1:pos:R:3 pbc="T T T"
Pm 0.372 2.427 0.160
Pm 2.213 0.136 4.134
Pm 2.213 4.718 4.134
Pm 4.053 2.427 0.160
Pm 4.798 7.281 6.489
Pm 6.638 4.990 2.515
Pm 6.638 9.572 2.515
Pm 8.479 7.281 6.489
As 2.213 7.281 5.202
As 6.638 2.427 1.447
Cl 0.443 5.331 1.699
Cl 0.443 9.231 1.699
Cl 2.213 2.427 2.307
Cl 3.983 5.331 1.699
Cl 3.983 9.231 1.699
Cl 4.868 0.477 4.950
Cl 4.868 4.377 4.950
Cl 6.638 7.281 4.342
Cl 8.408 0.477 4.950
Cl 8.408 4.377 4.950
```

=====

no.,uncorrected energy (eV/atom)
1,-0.991
2,-3.901
3,-4.937